DFT (SCAN) results for a crystal of Cd2WBr relaxed with PBEsol.

Output
**Total magnetic moment**: 0.0 μB/f.u.
**Crystal system**: tetragonal
**Energy relative to the elements, uncorrected**: 0.6248 eV per atom
**Energy relative to the lowest polymorph listed for this composition**: 0.0 meV/atom

a = 3.008 Å, b = 3.008 Å, c = 8.931 Å
α = 90.00°, β = 90.00°, γ = 90.00°
Space group P4mm (No. 99)
Inequivalent atoms, fractional coordinates:
Cd1 0.000 0.000 0.000 x1
Cd2 0.500 0.500 0.257 x1
W1 0.000 0.000 0.483 x1
Br1 0.500 0.500 0.662 x1